(1)
Cs2TaTe4 | PBE | relaxed

Lattice parameters (Å, degrees): 9.2858 7.7669 9.6639 90.00 114.43 90.00
With the nearest neighbours (Å) after each atom.
Space group P2_1/m (No. 11)
Inequivalent atoms, fractional coordinates:
1 Cs 0.1157 0.2500 0.3057 x2  8 Te 3.86-4.23
2 Cs 0.3266 0.2500 0.9316 x2  8 Te 3.89-4.36
3 Ta 0.3634 0.7500 0.4000 x2  6 Te 2.65-2.88
4 Te 0.0840 0.7500 0.4142 x2  1 Ta 2.65
5 Te 0.2447 0.7500 0.0908 x2  1 Ta 2.72
6 Te 0.4577 0.5168 0.6546 x4  2 Ta 2.84-2.88

Values from the calculation:
The calculation puts the formation energy from raw total energies at -578 meV per atom. The relative energy among the computed polymorphs comes out at 0 kJ/mol of formula units. Its density of states at the Fermi level is 0.77 states/eV per atom. The calculated total energy comes out at -4.311 eV/atom. The value obtained for the magnetization is 0.000 μB per formula unit.


(2)
K3BeCr | PBE | relaxed

Lattice parameters (Å, degrees): 6.6152 6.6152 6.6152 90.00 90.00 90.00
With the nearest neighbours (Å) after each atom.
Space group Pm-3m (No. 221)
Inequivalent atoms, fractional coordinates:
1 K 0.0000 0.0000 0.5000 x3  2 Cr 3.31
2 Be 0.5000 0.5000 0.5000 x1  12 K 4.68
3 Cr 0.0000 0.0000 0.0000 x1  6 K 3.31

Values from the calculation:
The formation enthalpy at 0 K is 1.224 eV per atom. Its density of states at the Fermi level is 1.19 states/eV per atom. The calculated total energy comes out at -2.104 eV/atom. The value obtained for the magnetization is 6.039 μB per formula unit.